(1)
Here is crystalline MnCrSb2Te at its relaxed geometry from Alexandria via LeMat-Bulk. Energies are from PBE.

E_form (uncorrected): 67.87 kJ/mol of atoms
space group: No. 123
excess energy over the best structure of this formula in the dataset: 34 meV per atom

POSCAR file:
```
MnCrSb2Te
1.0
4.7763 0.0000 0.0000
0.0000 4.7763 0.0000
0.0000 0.0000 5.7176
Mn Cr Sb Te
1 1 2 1
direct
0.0000 0.0000 0.0000
0.5000 0.5000 0.5000
0.0000 0.5000 0.0000
0.5000 0.0000 0.0000
0.0000 0.0000 0.5000
```

(2)
Here is crystalline LiSi2P at its relaxed geometry from Alexandria via LeMat-Bulk. Energies are from PBE.

E_form (uncorrected): 11.04 kJ/mol of atoms
space group: No. 99

POSCAR file:
```
LiSi2P
1.0
3.3776 0.0000 0.0000
0.0000 3.3776 0.0000
0.0000 0.0000 5.6441
Li Si P
1 2 1
direct
0.0000 0.0000 0.0000
0.0000 0.0000 0.4952
0.5000 0.5000 0.7249
0.5000 0.5000 0.3243
```

(3)
Here is crystalline NdScSn2 at its relaxed geometry from Alexandria via LeMat-Bulk. Energies are from PBE.

space group: No. 26
formation energy: -0.63 eV/atom

POSCAR file:
```
NdScSn2
1.0
4.2758 0.0000 0.0000
0.0000 6.0885 0.0000
0.0000 0.0000 8.3802
Nd Sc Sn
2 2 4
direct
0.0000 0.1264 0.0000
0.0000 0.8736 0.5000
0.5000 0.3761 0.6324
0.5000 0.6239 0.1324
0.0000 0.4074 0.3593
0.0000 0.5926 0.8593
0.5000 0.0890 0.2726
0.5000 0.9110 0.7726
```

(4)
Here is crystalline NaGaP at its relaxed geometry from Alexandria via LeMat-Bulk. Energies are from PBE.

space group: No. 2
formation energy: -0.39 eV/atom
excess energy over the best structure of this formula in the dataset: 0 meV per atom

POSCAR file:
```
NaGaP
1.0
3.9014 0.0000 0.0000
-1.9486 4.8224 0.0000
-0.0093 -1.2396 6.9879
Na Ga P
2 2 2
direct
0.1262 0.2501 0.3456
0.8738 0.7499 0.6544
0.3807 0.7613 0.0514
0.6193 0.2387 0.9486
0.1776 0.3565 0.7699
0.8224 0.6435 0.2301
```

How do the records compare in total energy? In the order shown, they have -26.7 -17.7 -43.2 -21.9 eV/cell.